A plane-wave DFT calculation with GGA-PBE was carried out for crystalline ZrIrRh at its relaxed geometry.

abc: 8.873 4.550 5.196
angles: 90.00 99.79 90.00
Space group C2/m (No. 12)
Inequivalent atoms, fractional coordinates:
1 Zr 0.132 0.000 0.314 [4 per cell]
2 Ir 0.040 0.500 0.763 [4 per cell]
3 Rh 0.221 0.000 0.838 [4 per cell]

Computed properties:
Theoretical density (Mg/m³): 12.414
Crystal system: monoclinic
Excess energy over the best structure of this formula in the dataset (meV per atom): 256.9
DFT total energy (eV/atom): -8.70
Energy relative to the elements (eV per formula unit): -1.35

=====

A plane-wave DFT calculation with GGA-PBE was carried out for crystalline Zr4IrRh at its relaxed geometry.

abc: 6.530 6.530 5.710
angles: 90.00 90.00 90.00
Space group I422 (No. 97)
Inequivalent atoms, fractional coordinates:
1 Zr 0.168 0.332 0.250 [8 per cell]
2 Ir 0.000 0.000 0.000 [2 per cell]
3 Rh 0.000 0.000 0.500 [2 per cell]

Computed properties:
Theoretical density (Mg/m³): 9.002
Crystal system: tetragonal
Excess energy over the best structure of this formula in the dataset (meV per atom): 0.0
DFT total energy (eV/atom): -9.01
Energy relative to the elements (eV per formula unit): -3.64

=====

A plane-wave DFT calculation with GGA-PBE was carried out for crystalline Zr4IrRh2 at its relaxed geometry.

abc: 4.6110 4.6110 22.6351
angles: 90.00 90.00 120.00
Space group R-3m (No. 166, hexagonal axes)
Inequivalent atoms, fractional coordinates:
1 Zr 0.0000 0.0000 0.1223 [6 per cell]
2 Zr 0.0000 0.0000 0.3726 [6 per cell]
3 Ir 0.0000 0.0000 0.5000 [3 per cell]
4 Rh 0.0000 0.0000 0.2499 [6 per cell]

Computed properties:
Theoretical density (Mg/m³): 9.119
Crystal system: trigonal
DFT total energy (eV/atom): -8.87
Energy relative to the elements (eV per formula unit): -4.33